DFT (GGA-PBE) results for a geometry-optimized InCu2TeS6 structure.

Structure (CIF):
```
data_InCu2TeS6
_space_group_name_H-M_alt 'C 1 2/c 1'
_space_group_IT_number 15
_space_group_name_Hall '-C 2yc'
_cell_length_a 15.343
_cell_length_b 8.673
_cell_length_c 7.738
_cell_angle_alpha 90.00
_cell_angle_beta 118.78
_cell_angle_gamma 90.00
loop_
_atom_site_label
_atom_site_fract_x
_atom_site_fract_y
_atom_site_fract_z
In1 0.000 0.177 0.250
Cu1 0.200 0.431 0.598
Te1 0.000 0.367 0.750
S1 0.119 0.434 0.260
S2 0.122 0.195 0.627
S3 0.138 0.043 0.184
```

Summary:
- DFT total energy (eV/atom) = -3.959

=====

DFT (GGA-PBE) results for a geometry-optimized InCuTeS structure.

Structure (CIF):
```
data_InCuTeS
_space_group_name_H-M_alt 'C 1 m 1'
_space_group_IT_number 8
_space_group_name_Hall 'C -2y'
_cell_length_a 7.362
_cell_length_b 4.249
_cell_length_c 7.278
_cell_angle_alpha 90.00
_cell_angle_beta 109.74
_cell_angle_gamma 90.00
loop_
_atom_site_label
_atom_site_fract_x
_atom_site_fract_y
_atom_site_fract_z
In1 0.000 0.000 0.000
Cu1 0.497 0.000 0.488
Te1 0.365 0.500 0.592
S1 0.383 0.000 0.148
```

Summary:
- DFT total energy (eV/atom) = -3.823

=====

no.,E_form (uncorrected) (meV/atom)
1,-75.1
2,-297.5